Record 1
A plane-wave DFT calculation with PBE was carried out for an optimized crystal structure of Sc2BeB6Os.

Unit cell a=4.9063 b=4.9063 c=31.1622 alpha=90.00 beta=90.00 gamma=120.00
Space group R-3m (No. 166, hexagonal axes)
One atom of each set of equivalent atoms:
Sc: 0.0000 0.0000 0.1301 (multiplicity 6)
Sc: 0.0000 0.0000 0.2824 (multiplicity 6)
Be: 0.0000 0.0000 0.0000 (multiplicity 3)
Be: 0.0000 0.0000 0.5000 (multiplicity 3)
B: 0.1032 0.5516 0.7204 (multiplicity 18)
B: 0.1064 0.5532 0.8739 (multiplicity 18)
Os: 0.0000 0.0000 0.4218 (multiplicity 6)


Record 2
A plane-wave DFT calculation with PBE was carried out for an optimized crystal structure of Sc2BeB2Os5.

Unit cell a=9.244 b=9.244 c=3.003 alpha=90.00 beta=90.00 gamma=90.00
Space group P4/mbm (No. 127)
One atom of each set of equivalent atoms:
Sc: 0.175 0.325 0.000 (multiplicity 4)
Be: 0.000 0.000 0.000 (multiplicity 2)
B: 0.128 0.628 0.000 (multiplicity 4)
Os: 0.000 0.500 0.500 (multiplicity 2)
Os: 0.066 0.796 0.500 (multiplicity 8)


Record 3
A plane-wave DFT calculation with PBE was carried out for an optimized crystal structure of SmBe2BOs2.

Unit cell a=4.123 b=4.123 c=5.210 alpha=90.00 beta=90.00 gamma=90.00
Space group P4/mmm (No. 123)
One atom of each set of equivalent atoms:
Sm: 0.000 0.000 0.000 (multiplicity 1)
Be: 0.500 0.500 0.270 (multiplicity 2)
B: 0.000 0.000 0.500 (multiplicity 1)
Os: 0.000 0.500 0.500 (multiplicity 2)


Record 4
A plane-wave DFT calculation with PBE was carried out for an optimized crystal structure of Be2SnBOs.

Unit cell a=3.731 b=3.731 c=4.947 alpha=90.00 beta=90.00 gamma=90.00
Space group P4/mmm (No. 123)
One atom of each set of equivalent atoms:
Be: 0.000 0.500 0.000 (multiplicity 2)
Sn: 0.000 0.000 0.500 (multiplicity 1)
B: 0.000 0.000 0.000 (multiplicity 1)
Os: 0.500 0.500 0.500 (multiplicity 1)


The records above yield DFT formation energy values of -0.289, -0.351, -0.307, 0.889 eV/atom, respectively.
The records above yield DOS at the Fermi energy values of 17.0, 17.1, 2.9, 4.0 states/eV per cell, respectively.